# 1
Entry from Alexandria via LeMat-Bulk: a geometry-optimized BaMnRu2 structure (GGA-PBE).

Results
Its distance to the lowest polymorph of the same formula is 734 meV/atom. The value obtained for the formation enthalpy at 0 K is 1.05 eV per atom.

POSCAR file:
```
BaMnRu2
1.0
4.7737 0.0000 0.0000
0.0000 4.7737 0.0000
0.0000 0.0000 3.3619
Ba Mn Ru
1 1 2
direct
0.0000 0.0000 0.0000
0.5000 0.5000 0.0000
0.0000 0.5000 0.5000
0.5000 0.0000 0.5000
```

=====

# 2
Entry from Alexandria via LeMat-Bulk: a geometry-optimized Ba2MnRu structure (GGA-PBE).

Results
Its distance to the lowest polymorph of the same formula is 536 meV/atom. The value obtained for the formation enthalpy at 0 K is 0.80 eV per atom.

POSCAR file:
```
Ba2MnRu
1.0
-2.6671 2.6671 3.8197
2.6671 -2.6671 3.8197
2.6671 2.6671 -3.8197
Ba Mn Ru
2 1 1
direct
0.0000 0.0000 0.0000
0.7500 0.2500 0.5000
0.2500 0.7500 0.5000
0.5000 0.5000 0.0000
```

=====

# 3
Entry from Alexandria via LeMat-Bulk: a geometry-optimized Ba2MnRu structure (GGA-PBE).

Results
Its distance to the lowest polymorph of the same formula is 0 meV/atom. The value obtained for the formation enthalpy at 0 K is 0.27 eV per atom.

POSCAR file:
```
Ba2MnRu
1.0
3.7906 -2.1881 0.0000
3.7906 2.1881 0.0000
-2.5054 0.0000 8.8394
Ba Mn Ru
2 1 1
direct
0.0000 0.0000 0.0000
0.1671 0.1671 0.5056
0.4168 0.4168 0.2525
0.7503 0.7503 0.2530
```

=====

Question: Which of these has the lowest formation enthalpy at 0 K?
Answer: number 3